Entry from Alexandria via LeMat-Bulk: a relaxed structure of Ag2Pd5Pt5 (PBE).

Cell lengths 4.8745, 4.8823, 9.3323 Å; angles 79.95, 85.97, 60.15 degrees
With the nearest neighbours (Å) after each atom.
Atoms (fractional coordinates):
Ag1 0.1667 0.4157 0.2491  6 Pd 2.80-2.84, 6 Pt 2.81-2.85
Ag2 0.8333 0.5843 0.7509  6 Pd 2.80-2.84, 6 Pt 2.81-2.85
Pd1 0.1679 0.1603 0.9995  5 Pd 2.77-2.88, 5 Pt 2.79-2.84, 2 Ag 2.80-2.83
Pd2 0.4974 0.2545 0.7505  3 Pd 2.79-2.83, 6 Pt 2.79-2.83, 3 Ag 2.81-2.84
Pd3 0.5000 0.0000 0.5000  8 Pt 2.79-2.85, 2 Ag 2.80, 2 Pd 2.83
Pd4 0.5026 0.7455 0.2495  3 Pd 2.79-2.83, 6 Pt 2.79-2.83, 3 Ag 2.81-2.84
Pd5 0.8321 0.8397 0.0005  5 Pd 2.77-2.88, 5 Pt 2.79-2.84, 2 Ag 2.80-2.83
Pt1 0.1667 0.6729 0.5003  5 Pt 2.77-2.87, 5 Pd 2.79-2.85, 2 Ag 2.85
Pt2 0.1668 0.9164 0.7502  3 Pt 2.79-2.80, 6 Pd 2.79-2.84, 3 Ag 2.81-2.83
Pt3 0.5000 0.5000 0.0000  2 Pt 2.79, 8 Pd 2.80-2.84, 2 Ag 2.83
Pt4 0.8332 0.0836 0.2498  3 Pt 2.79-2.80, 6 Pd 2.79-2.84, 3 Ag 2.81-2.83
Pt5 0.8333 0.3271 0.4997  5 Pt 2.77-2.87, 5 Pd 2.79-2.85, 2 Ag 2.85

Values from the calculation:
Magnetic moment ... 0.00 μB/cell
ΔH_f (0 K) ... 2.6 meV per atom
Calculated total energy ... -61.8 eV per cell

---

Entry from Alexandria via LeMat-Bulk: a relaxed structure of LaCd2CoI (PBE).

Cell lengths 5.1574, 5.1574, 5.0595 Å; angles 90.00, 90.00, 90.00 degrees
With the nearest neighbours (Å) after each atom.
Atoms (fractional coordinates):
La1 0.0000 0.0000 0.0000  2 Co 2.53
Cd1 0.0000 0.5000 0.5000  2 Co 2.58
Cd2 0.5000 0.0000 0.5000  2 Co 2.58
Co1 0.0000 0.0000 0.5000  2 La 2.53, 4 Cd 2.58
I1 0.5000 0.5000 0.0000  8 Cd 3.61, 4 La 3.65

Values from the calculation:
Magnetic moment ... 0.00 μB/cell
Formation energy without anion corrections ... -0.34 eV/atom
Calculated total energy ... -17.1 eV per cell

---

Entry from Alexandria via LeMat-Bulk: a relaxed structure of Ni2SbBr (PBE).

Cell lengths 3.3658, 3.3658, 6.4344 Å; angles 90.00, 90.00, 90.00 degrees
With the nearest neighbours (Å) after each atom.
Atoms (fractional coordinates):
Ni1 0.0000 0.0000 0.1944  1 Ni 2.50, 4 Sb 2.69
Ni2 0.0000 0.0000 0.8056  1 Ni 2.50, 4 Sb 2.69
Sb1 0.5000 0.5000 0.0000  8 Ni 2.69
Br1 0.5000 0.5000 0.5000  8 Ni 3.09, 2 Sb 3.22, 4 Br 3.37

Values from the calculation:
Polymorph energy (0 for the lowest one) ... 1.09 eV/f.u.
Magnetic moment ... 0.00 μB/cell
Formation energy without anion corrections ... 0.25 eV/atom
Calculated total energy ... -16.4 eV per cell

---

Entry from Alexandria via LeMat-Bulk: a relaxed structure of Er2PuRh4 (PBE).

Cell lengths 4.5581, 4.5581, 7.4907 Å; angles 94.32, 94.32, 66.47 degrees
With the nearest neighbours (Å) after each atom.
Atoms (fractional coordinates):
Er1 0.1892 0.1892 0.3183  5 Rh 2.69-3.00
Er2 0.8108 0.8108 0.6817  5 Rh 2.69-3.00
Pu1 0.5000 0.5000 0.0000  4 Rh 2.60-2.65
Rh1 0.1594 0.1594 0.8945  3 Pu 2.65-2.92, 1 Rh 2.91
Rh2 0.4373 0.4373 0.6535  1 Rh 2.57, 1 Pu 2.60, 3 Er 2.69-2.84
Rh3 0.5627 0.5627 0.3465  1 Rh 2.57, 1 Pu 2.60, 3 Er 2.69-2.84
Rh4 0.8406 0.8406 0.1055  3 Pu 2.65-2.92, 1 Rh 2.91

Values from the calculation:
Magnetic moment ... 3.84 μB/cell
ΔH_f (0 K) ... -552.9 meV per atom
Calculated total energy ... -56.7 eV per cell

---

Entry from Alexandria via LeMat-Bulk: a relaxed structure of AlTl2Cd (PBE).

Cell lengths 3.2454, 3.2454, 10.7234 Å; angles 90.00, 90.00, 111.95 degrees
With the nearest neighbours (Å) after each atom.
Atoms (fractional coordinates):
Al1 0.0000 0.0000 0.0000  4 Tl 3.12, 4 Al 3.25
Tl1 0.5000 0.5000 0.2361  2 Al 3.12, 4 Tl 3.25, 2 Cd 3.36
Tl2 0.5000 0.5000 0.7639  2 Al 3.12, 4 Tl 3.25, 2 Cd 3.36
Cd1 0.0000 0.0000 0.5000  6 Cd 3.25-3.63, 4 Tl 3.36

Values from the calculation:
Magnetic moment ... 0.00 μB/cell
ΔH_f (0 K) ... 203.3 meV per atom
Calculated total energy ... -8.6 eV per cell

---

Entry from Alexandria via LeMat-Bulk: a relaxed structure of Cr2RhPb (PBE).

Cell lengths 5.0043, 5.0043, 5.0043 Å; angles 135.40, 135.40, 64.90 degrees
With the nearest neighbours (Å) after each atom.
Atoms (fractional coordinates):
Cr1 0.2500 0.7500 0.5000  4 Cr 2.69, 4 Pb 2.84, 4 Rh 2.84
Cr2 0.7500 0.2500 0.5000  4 Cr 2.69, 4 Pb 2.84, 4 Rh 2.84
Rh1 0.0000 0.0000 0.0000  4 Pb 2.69, 8 Cr 2.84
Pb1 0.5000 0.5000 0.0000  4 Rh 2.69, 8 Cr 2.84

Values from the calculation:
Magnetic moment ... 0.00 μB/cell
ΔH_f (0 K) ... 508.4 meV per atom
Calculated total energy ... -28.3 eV per cell

---

Entry from Alexandria via LeMat-Bulk: a relaxed structure of Nd2Ge3AsRh4 (PBE).

Cell lengths 4.2938, 4.2938, 10.0564 Å; angles 90.00, 90.00, 90.00 degrees
With the nearest neighbours (Å) after each atom.
Atoms (fractional coordinates):
Nd1 0.0000 0.5000 0.2423  6 Ge 3.25-3.30, 2 As 3.25, 8 Rh 3.26-3.37
Nd2 0.5000 0.0000 0.7577  6 Ge 3.25-3.30, 2 As 3.25, 8 Rh 3.26-3.37
Ge1 0.0000 0.0000 0.0000  4 Rh 2.49
Ge2 0.0000 0.5000 0.6294  5 Rh 2.47-2.51
Ge3 0.5000 0.0000 0.3706  5 Rh 2.47-2.51
As1 0.5000 0.5000 0.0000  4 Rh 2.49
Rh1 0.0000 0.0000 0.5000  4 Ge 2.51
Rh2 0.0000 0.5000 0.8750  3 Ge 2.47-2.49, 2 As 2.49
Rh3 0.5000 0.0000 0.1250  3 Ge 2.47-2.49, 2 As 2.49
Rh4 0.5000 0.5000 0.5000  4 Ge 2.51

Values from the calculation:
Magnetic moment ... 0.00 μB/cell
ΔH_f (0 K) ... -885.8 meV per atom
Calculated total energy ... -66.3 eV per cell

---

Entry from Alexandria via LeMat-Bulk: a relaxed structure of Mg2CoMo (PBE).

Cell lengths 5.0636, 5.0636, 5.0636 Å; angles 134.98, 134.98, 65.56 degrees
With the nearest neighbours (Å) after each atom.
Atoms (fractional coordinates):
Mg1 0.2500 0.7500 0.5000  4 Mg 2.74, 4 Mo 2.88, 4 Co 2.88
Mg2 0.7500 0.2500 0.5000  4 Mg 2.74, 4 Mo 2.88, 4 Co 2.88
Co1 0.0000 0.0000 0.0000  4 Mo 2.74, 8 Mg 2.88
Mo1 0.5000 0.5000 0.0000  4 Co 2.74, 8 Mg 2.88

Values from the calculation:
Polymorph energy (0 for the lowest one) ... 1.33 eV/f.u.
Magnetic moment ... 2.90 μB/cell
ΔH_f (0 K) ... 443.5 meV per atom
Calculated total energy ... -19.4 eV per cell

---

- What is the magnetic moment in the first record?
  0.00 μB/cell

---

- Number 4 is which compound?
  Er2PuRh4